# TeS4Br (GGA-PBE, optimized geometry)
# Spin magnetization (μB/atom): 0.000
# E_form (uncorrected) (meV per atom): 122
data_TeS4Br
_cell_length_a 8.2758
_cell_length_b 15.7401
_cell_length_c 7.4366
_cell_angle_alpha 90.00
_cell_angle_beta 99.30
_cell_angle_gamma 90.00
_space_group_name_H-M_alt 'C 1 2/c 1'
_space_group_IT_number 15
loop_
_space_group_symop_operation_xyz
'x,y,z'
'-x,-y,-z'
'-x,y,-z+1/2'
'x,-y,z+1/2'
'x+1/2,y+1/2,z'
'-x+1/2,-y+1/2,-z'
'-x+1/2,y+1/2,-z+1/2'
'x+1/2,-y+1/2,z+1/2'
loop_
_atom_site_label
_atom_site_fract_x
_atom_site_fract_y
_atom_site_fract_z
Te1 0.0000 0.2317 0.2500
S1 0.1211 0.1106 0.4512
S2 0.1391 0.3745 0.4739
Br1 0.0000 0.3701 0.7500